Entry 1:
# Ta2RuPb PBE-GGA relaxed
# DFT formation energy	1.5	eV/f.u.
# magnetization	0.00	μB/f.u.
data_Ta2RuPb
_space_group_name_H-M_alt 'R -3 m'
_space_group_IT_number 166
_space_group_name_Hall '-R 3 2"'
_cell_length_a 3.0534
_cell_length_b 3.0534
_cell_length_c 28.2931
_cell_angle_alpha 90.00
_cell_angle_beta 90.00
_cell_angle_gamma 120.00
loop_
_atom_site_label
_atom_site_fract_x
_atom_site_fract_y
_atom_site_fract_z
_atom_site_occupancy
Ta1 0.0000 0.0000 0.2403 1
Ru1 0.0000 0.0000 0.5000 1
Pb1 0.0000 0.0000 0.0000 1

Entry 2:
# Ta2RuPb PBE-GGA relaxed
# DFT formation energy	1.1	eV/f.u.
# magnetization	0.00	μB/f.u.
data_Ta2RuPb
_space_group_name_H-M_alt 'C 1 m 1'
_space_group_IT_number 8
_cell_length_a 9.8244
_cell_length_b 3.1255
_cell_length_c 5.0759
_cell_angle_alpha 90.00
_cell_angle_beta 105.69
_cell_angle_gamma 90.00
loop_
_space_group_symop_operation_xyz
'x,y,z'
'x,-y,z'
'x+1/2,y+1/2,z'
'x+1/2,-y+1/2,z'
loop_
_atom_site_label
_atom_site_fract_x
_atom_site_fract_y
_atom_site_fract_z
_atom_site_occupancy
Ta1 0.0000 0.0000 0.0000 1
Ta2 0.2475 0.5000 0.2387 1
Ru1 0.4667 0.0000 0.4380 1
Pb1 0.2247 0.0000 0.7198 1

Entry 3:
# Ta2RuPb PBE-GGA relaxed
# DFT formation energy	1.7	eV/f.u.
# magnetization	0.00	μB/f.u.
data_Ta2RuPb
_space_group_name_H-M_alt 'F -4 3 m'
_space_group_IT_number 216
_space_group_name_Hall 'F -4 2 3'
_cell_length_a 6.6421
_cell_length_b 6.6421
_cell_length_c 6.6421
_cell_angle_alpha 90.00
_cell_angle_beta 90.00
_cell_angle_gamma 90.00
loop_
_atom_site_label
_atom_site_fract_x
_atom_site_fract_y
_atom_site_fract_z
_atom_site_occupancy
Ta1 0.0000 0.0000 0.0000 1
Ta2 0.2500 0.2500 0.2500 1
Ru1 0.2500 0.2500 0.7500 1
Pb1 0.0000 0.0000 0.5000 1

Entry 4:
# Ta3RuPb PBE-GGA relaxed
# DFT formation energy	4.8	eV/f.u.
# magnetization	0.00	μB/f.u.
# offset from the most stable computed form	0.000	eV per atom
data_Ta3RuPb
_space_group_name_H-M_alt 'P m -3 m'
_space_group_IT_number 221
_space_group_name_Hall '-P 4 2 3'
_cell_length_a 4.8452
_cell_length_b 4.8452
_cell_length_c 4.8452
_cell_angle_alpha 90.00
_cell_angle_beta 90.00
_cell_angle_gamma 90.00
loop_
_atom_site_label
_atom_site_fract_x
_atom_site_fract_y
_atom_site_fract_z
_atom_site_occupancy
Ta1 0.0000 0.0000 0.5000 1
Ru1 0.0000 0.0000 0.0000 1
Pb1 0.5000 0.5000 0.5000 1

Entry 5:
# Ta2RuPb PBE-GGA relaxed
# DFT formation energy	0.6	eV/f.u.
# magnetization	0.00	μB/f.u.
data_Ta2RuPb
_space_group_name_H-M_alt 'P 1 m 1'
_space_group_IT_number 6
_cell_length_a 3.1746
_cell_length_b 3.1452
_cell_length_c 7.9881
_cell_angle_alpha 90.00
_cell_angle_beta 97.65
_cell_angle_gamma 90.00
loop_
_space_group_symop_operation_xyz
'x,y,z'
'x,-y,z'
loop_
_atom_site_label
_atom_site_fract_x
_atom_site_fract_y
_atom_site_fract_z
_atom_site_occupancy
Ta1 0.0000 0.0000 0.0000 1
Ta2 0.4084 0.5000 0.7647 1
Ru1 0.5662 0.5000 0.1767 1
Pb1 0.9948 0.0000 0.4552 1

Entry 6:
# Ta2RuPb PBE-GGA relaxed
# DFT formation energy	1.2	eV/f.u.
# magnetization	0.00	μB/f.u.
data_Ta2RuPb
_space_group_name_H-M_alt 'I m m 2'
_space_group_IT_number 44
_cell_length_a 3.4997
_cell_length_b 4.5326
_cell_length_c 9.2638
_cell_angle_alpha 90.00
_cell_angle_beta 90.00
_cell_angle_gamma 90.00
loop_
_space_group_symop_operation_xyz
'x,y,z'
'-x,-y,z'
'-x,y,z'
'x,-y,z'
'x+1/2,y+1/2,z+1/2'
'-x+1/2,-y+1/2,z+1/2'
'-x+1/2,y+1/2,z+1/2'
'x+1/2,-y+1/2,z+1/2'
loop_
_atom_site_label
_atom_site_fract_x
_atom_site_fract_y
_atom_site_fract_z
_atom_site_occupancy
Ta1 0.0000 0.0000 0.0000 1
Ta2 0.0000 0.5000 0.2459 1
Ru1 0.0000 0.0000 0.5179 1
Pb1 0.0000 0.5000 0.7689 1

Entry 7:
# Tb12Ru6Pb PBE-GGA relaxed
# DFT formation energy	-5.7	eV/f.u.
# magnetization	0.00	μB/f.u.
data_Tb12Ru6Pb
_space_group_name_H-M_alt 'I m -3'
_space_group_IT_number 204
_space_group_name_Hall '-I 2 2 3'
_cell_length_a 9.9011
_cell_length_b 9.9011
_cell_length_c 9.9011
_cell_angle_alpha 90.00
_cell_angle_beta 90.00
_cell_angle_gamma 90.00
loop_
_atom_site_label
_atom_site_fract_x
_atom_site_fract_y
_atom_site_fract_z
_atom_site_occupancy
Tb1 0.0000 0.1950 0.2974 1
Ru1 0.0000 0.3766 0.5000 1
Pb1 0.0000 0.0000 0.0000 1

Entry 8:
# Tb3RuPb PBE-GGA relaxed
# DFT formation energy	-2.0	eV/f.u.
# magnetization	0.00	μB/f.u.
# offset from the most stable computed form	0.000	eV per atom
data_Tb3RuPb
_space_group_name_H-M_alt 'C 1 2/m 1'
_space_group_IT_number 12
_cell_length_a 11.6653
_cell_length_b 4.6981
_cell_length_c 9.8843
_cell_angle_alpha 90.00
_cell_angle_beta 95.82
_cell_angle_gamma 90.00
loop_
_space_group_symop_operation_xyz
'x,y,z'
'-x,-y,-z'
'-x,y,-z'
'x,-y,z'
'x+1/2,y+1/2,z'
'-x+1/2,-y+1/2,-z'
'-x+1/2,y+1/2,-z'
'x+1/2,-y+1/2,z'
loop_
_atom_site_label
_atom_site_fract_x
_atom_site_fract_y
_atom_site_fract_z
_atom_site_occupancy
Tb1 0.1064 0.0000 0.3862 1
Tb2 0.1197 0.5000 0.6635 1
Tb3 0.1396 0.5000 0.1111 1
Ru1 0.2393 0.5000 0.3784 1
Pb1 0.0863 0.0000 0.8792 1

Entry 9:
# TbRuPb PBE-GGA relaxed
# DFT formation energy	-0.4	eV/f.u.
# magnetization	0.00	μB/f.u.
data_TbRuPb
_space_group_name_H-M_alt 'I 4 m m'
_space_group_IT_number 107
_space_group_name_Hall 'I 4 -2'
_cell_length_a 3.3864
_cell_length_b 3.3864
_cell_length_c 11.7078
_cell_angle_alpha 90.00
_cell_angle_beta 90.00
_cell_angle_gamma 90.00
loop_
_atom_site_label
_atom_site_fract_x
_atom_site_fract_y
_atom_site_fract_z
_atom_site_occupancy
Tb1 0.0000 0.0000 0.0000 1
Ru1 0.0000 0.0000 0.3513 1
Pb1 0.0000 0.0000 0.7137 1

Entry 10:
# Tb8RuPb2 PBE-GGA relaxed
# DFT formation energy	-3.1	eV/f.u.
# magnetization	0.00	μB/f.u.
data_Tb8RuPb2
_space_group_name_H-M_alt 'C 1 2/m 1'
_space_group_IT_number 12
_cell_length_a 19.3727
_cell_length_b 5.0424
_cell_length_c 6.7561
_cell_angle_alpha 90.00
_cell_angle_beta 105.52
_cell_angle_gamma 90.00
loop_
_space_group_symop_operation_xyz
'x,y,z'
'-x,-y,-z'
'-x,y,-z'
'x,-y,z'
'x+1/2,y+1/2,z'
'-x+1/2,-y+1/2,-z'
'-x+1/2,y+1/2,-z'
'x+1/2,-y+1/2,z'
loop_
_atom_site_label
_atom_site_fract_x
_atom_site_fract_y
_atom_site_fract_z
_atom_site_occupancy
Tb1 0.0172 0.0000 0.2854 1
Tb2 0.0879 0.5000 0.9595 1
Tb3 0.1424 0.5000 0.5015 1
Tb4 0.2160 0.0000 0.8237 1
Ru1 0.0000 0.5000 0.5000 1
Pb1 0.1810 0.0000 0.2591 1

Entry 11:
# Tb3RuPb2 PBE-GGA relaxed
# DFT formation energy	-2.7	eV/f.u.
# magnetization	0.00	μB/f.u.
# offset from the most stable computed form	0.000	eV per atom
data_Tb3RuPb2
_space_group_name_H-M_alt 'P n m a'
_space_group_IT_number 62
_cell_length_a 12.7494
_cell_length_b 4.3483
_cell_length_c 11.8293
_cell_angle_alpha 90.00
_cell_angle_beta 90.00
_cell_angle_gamma 90.00
loop_
_space_group_symop_operation_xyz
'x,y,z'
'-x,-y,-z'
'-x+1/2,-y,z+1/2'
'x+1/2,y,-z+1/2'
'x+1/2,-y+1/2,-z+1/2'
'-x+1/2,y+1/2,z+1/2'
'-x,y+1/2,-z'
'x,-y+1/2,z'
loop_
_atom_site_label
_atom_site_fract_x
_atom_site_fract_y
_atom_site_fract_z
_atom_site_occupancy
Tb1 0.0554 0.2500 0.1306 1
Tb2 0.1188 0.7500 0.5389 1
Tb3 0.2491 0.7500 0.2835 1
Ru1 0.1273 0.2500 0.3669 1
Pb1 0.0122 0.2500 0.6958 1
Pb2 0.1852 0.7500 0.9923 1

Entry 12:
# Tb4RuPb2 PBE-GGA relaxed
# DFT formation energy	-1.9	eV/f.u.
# magnetization	0.00	μB/f.u.
data_Tb4RuPb2
_space_group_name_H-M_alt 'I 4/m m m'
_space_group_IT_number 139
_space_group_name_Hall '-I 4 2'
_cell_length_a 5.1121
_cell_length_b 5.1121
_cell_length_c 16.5431
_cell_angle_alpha 90.00
_cell_angle_beta 90.00
_cell_angle_gamma 90.00
loop_
_atom_site_label
_atom_site_fract_x
_atom_site_fract_y
_atom_site_fract_z
_atom_site_occupancy
Tb1 0.0000 0.0000 0.1723 1
Tb2 0.0000 0.5000 0.0000 1
Ru1 0.0000 0.0000 0.0000 1
Pb1 0.0000 0.0000 0.3611 1

Entry 13:
# Tb3RuPb PBE-GGA relaxed
# DFT formation energy	-1.9	eV/f.u.
# magnetization	0.00	μB/f.u.
# offset from the most stable computed form	0.014	eV per atom
data_Tb3RuPb
_space_group_name_H-M_alt 'F m m m'
_space_group_IT_number 69
_space_group_name_Hall '-F 2 2'
_cell_length_a 6.5968
_cell_length_b 9.8720
_cell_length_c 16.5649
_cell_angle_alpha 90.00
_cell_angle_beta 90.00
_cell_angle_gamma 90.00
loop_
_atom_site_label
_atom_site_fract_x
_atom_site_fract_y
_atom_site_fract_z
_atom_site_occupancy
Tb1 0.0000 0.0000 0.1978 1
Tb2 0.0000 0.1862 0.3814 1
Ru1 0.2500 0.2500 0.2500 1
Pb1 0.2197 0.0000 0.0000 1

Entry 14:
# Tb3RuPb PBE-GGA relaxed
# DFT formation energy	-1.2	eV/f.u.
# magnetization	0.00	μB/f.u.
# offset from the most stable computed form	0.158	eV per atom
data_Tb3RuPb
_space_group_name_H-M_alt 'P m -3 m'
_space_group_IT_number 221
_space_group_name_Hall '-P 4 2 3'
_cell_length_a 5.3161
_cell_length_b 5.3161
_cell_length_c 5.3161
_cell_angle_alpha 90.00
_cell_angle_beta 90.00
_cell_angle_gamma 90.00
loop_
_atom_site_label
_atom_site_fract_x
_atom_site_fract_y
_atom_site_fract_z
_atom_site_occupancy
Tb1 0.0000 0.0000 0.5000 1
Ru1 0.0000 0.0000 0.0000 1
Pb1 0.5000 0.5000 0.5000 1

Entry 15:
# Tb6Ru2Pb PBE-GGA relaxed
# DFT formation energy	-3.4	eV/f.u.
# magnetization	0.00	μB/f.u.
data_Tb6Ru2Pb
_space_group_name_H-M_alt 'I m m m'
_space_group_IT_number 71
_space_group_name_Hall '-I 2 2'
_cell_length_a 9.4533
_cell_length_b 9.6921
_cell_length_c 10.4849
_cell_angle_alpha 90.00
_cell_angle_beta 90.00
_cell_angle_gamma 90.00
loop_
_atom_site_label
_atom_site_fract_x
_atom_site_fract_y
_atom_site_fract_z
_atom_site_occupancy
Tb1 0.0000 0.2103 0.2382 1
Tb2 0.1873 0.5000 0.1695 1
Tb3 0.2120 0.3172 0.5000 1
Ru1 0.0000 0.3300 0.0000 1
Ru2 0.0000 0.5000 0.3727 1
Pb1 0.0000 0.0000 0.0000 1
Pb2 0.0000 0.0000 0.5000 1

Entry 16:
# Tb7Ru2Pb PBE-GGA relaxed
# DFT formation energy	-1.3	eV/f.u.
# magnetization	0.00	μB/f.u.
data_Tb7Ru2Pb
_space_group_name_H-M_alt 'C m m m'
_space_group_IT_number 65
_space_group_name_Hall '-C 2 2'
_cell_length_a 8.9416
_cell_length_b 13.6608
_cell_length_c 5.2234
_cell_angle_alpha 90.00
_cell_angle_beta 90.00
_cell_angle_gamma 90.00
loop_
_atom_site_label
_atom_site_fract_x
_atom_site_fract_y
_atom_site_fract_z
_atom_site_occupancy
Tb1 0.0000 0.0000 0.0000 1
Tb2 0.0000 0.2212 0.5000 1
Tb3 0.1866 0.3680 0.0000 1
Ru1 0.0000 0.1990 0.0000 1
Pb1 0.0000 0.5000 0.5000 1

Entry 17:
# TbRu2Pb PBE-GGA relaxed
# DFT formation energy	-0.3	eV/f.u.
# magnetization	0.00	μB/f.u.
data_TbRu2Pb
_space_group_name_H-M_alt 'P 4/m m m'
_space_group_IT_number 123
_space_group_name_Hall '-P 4 2'
_cell_length_a 4.6651
_cell_length_b 4.6651
_cell_length_c 3.4559
_cell_angle_alpha 90.00
_cell_angle_beta 90.00
_cell_angle_gamma 90.00
loop_
_atom_site_label
_atom_site_fract_x
_atom_site_fract_y
_atom_site_fract_z
_atom_site_occupancy
Tb1 0.0000 0.0000 0.0000 1
Ru1 0.0000 0.5000 0.5000 1
Pb1 0.5000 0.5000 0.0000 1

Entry 18:
# Tb4RuPb PBE-GGA relaxed
# DFT formation energy	-2.4	eV/f.u.
# magnetization	0.00	μB/f.u.
data_Tb4RuPb
_space_group_name_H-M_alt 'C 1 2/c 1'
_space_group_IT_number 15
_cell_length_a 8.9352
_cell_length_b 13.5392
_cell_length_c 6.1770
_cell_angle_alpha 90.00
_cell_angle_beta 112.88
_cell_angle_gamma 90.00
loop_
_space_group_symop_operation_xyz
'x,y,z'
'-x,-y,-z'
'-x,y,-z+1/2'
'x,-y,z+1/2'
'x+1/2,y+1/2,z'
'-x+1/2,-y+1/2,-z'
'-x+1/2,y+1/2,-z+1/2'
'x+1/2,-y+1/2,z+1/2'
loop_
_atom_site_label
_atom_site_fract_x
_atom_site_fract_y
_atom_site_fract_z
_atom_site_occupancy
Tb1 0.1098 0.1676 0.0629 1
Tb2 0.2222 0.4296 0.3499 1
Ru1 0.0000 0.9996 0.2500 1
Pb1 0.0000 0.3711 0.7500 1

Entry 19:
# Tb4Ru2Pb PBE-GGA relaxed
# DFT formation energy	-2.0	eV/f.u.
# magnetization	0.00	μB/f.u.
# offset from the most stable computed form	0.091	eV per atom
data_Tb4Ru2Pb
_space_group_name_H-M_alt 'C m c m'
_space_group_IT_number 63
_space_group_name_Hall '-C 2c 2'
_cell_length_a 5.1157
_cell_length_b 8.8681
_cell_length_c 15.0853
_cell_angle_alpha 90.00
_cell_angle_beta 90.00
_cell_angle_gamma 90.00
loop_
_atom_site_label
_atom_site_fract_x
_atom_site_fract_y
_atom_site_fract_z
_atom_site_occupancy
Tb1 0.0000 0.0000 0.0000 1
Tb2 0.0000 0.3329 0.1197 1
Tb3 0.0000 0.3339 0.7500 1
Ru1 0.0000 0.3336 0.5607 1
Pb1 0.0000 0.0007 0.7500 1

Entry 20:
# Tb5RuPb4 PBE-GGA relaxed
# DFT formation energy	-2.8	eV/f.u.
# magnetization	0.00	μB/f.u.
data_Tb5RuPb4
_space_group_name_H-M_alt 'I 4'
_space_group_IT_number 79
_cell_length_a 9.7646
_cell_length_b 9.7646
_cell_length_c 6.1871
_cell_angle_alpha 90.00
_cell_angle_beta 90.00
_cell_angle_gamma 90.00
loop_
_space_group_symop_operation_xyz
'x,y,z'
'-y,x,z'
'-x,-y,z'
'y,-x,z'
'x+1/2,y+1/2,z+1/2'
'-y+1/2,x+1/2,z+1/2'
'-x+1/2,-y+1/2,z+1/2'
'y+1/2,-x+1/2,z+1/2'
loop_
_atom_site_label
_atom_site_fract_x
_atom_site_fract_y
_atom_site_fract_z
_atom_site_occupancy
Tb1 0.0000 0.0000 0.0000 1
Tb2 0.1096 0.2469 0.4218 1
Ru1 0.0000 0.0000 0.4836 1
Pb1 0.0680 0.3284 0.9213 1

Entry 21:
# Tb4Ru2Pb PBE-GGA relaxed
# DFT formation energy	-2.7	eV/f.u.
# magnetization	0.00	μB/f.u.
# offset from the most stable computed form	0.000	eV per atom
data_Tb4Ru2Pb
_space_group_name_H-M_alt 'P 1'
_space_group_IT_number 1
_cell_length_a 6.0844
_cell_length_b 7.9039
_cell_length_c 8.4883
_cell_angle_alpha 116.24
_cell_angle_beta 100.98
_cell_angle_gamma 97.33
loop_
_space_group_symop_operation_xyz
'x,y,z'
loop_
_atom_site_label
_atom_site_fract_x
_atom_site_fract_y
_atom_site_fract_z
_atom_site_occupancy
Tb1 0.0000 0.0000 0.0000 1
Tb2 0.0767 0.9167 0.3917 1
Tb3 0.1845 0.4794 0.2832 1
Tb4 0.2826 0.4077 0.6703 1
Tb5 0.4981 0.8435 0.1283 1
Tb6 0.5866 0.3249 0.0854 1
Tb7 0.7020 0.1349 0.6160 1
Tb8 0.7900 0.5592 0.5596 1
Ru1 0.1599 0.2004 0.8339 1
Ru2 0.3940 0.1997 0.3360 1
Ru3 0.6004 0.7398 0.3933 1
Ru4 0.8791 0.2036 0.3310 1
Pb1 0.3741 0.8553 0.7199 1
Pb2 0.9463 0.5589 0.9556 1

Entry 22:
# Tb3RuPb2 PBE-GGA relaxed
# DFT formation energy	-2.0	eV/f.u.
# magnetization	0.00	μB/f.u.
# offset from the most stable computed form	0.112	eV per atom
data_Tb3RuPb2
_space_group_name_H-M_alt 'C 1 2/c 1'
_space_group_IT_number 15
_cell_length_a 14.2892
_cell_length_b 6.1863
_cell_length_c 7.4935
_cell_angle_alpha 90.00
_cell_angle_beta 104.75
_cell_angle_gamma 90.00
loop_
_space_group_symop_operation_xyz
'x,y,z'
'-x,-y,-z'
'-x,y,-z+1/2'
'x,-y,z+1/2'
'x+1/2,y+1/2,z'
'-x+1/2,-y+1/2,-z'
'-x+1/2,y+1/2,-z+1/2'
'x+1/2,-y+1/2,z+1/2'
loop_
_atom_site_label
_atom_site_fract_x
_atom_site_fract_y
_atom_site_fract_z
_atom_site_occupancy
Tb1 0.0000 0.2007 0.2500 1
Tb2 0.1585 0.4047 0.6305 1
Ru1 0.0000 0.3390 0.7500 1
Pb1 0.1533 0.1047 0.0132 1

Entry 23:
# Tb7Ru2Pb2 PBE-GGA relaxed
# DFT formation energy	-3.0	eV/f.u.
# magnetization	0.00	μB/f.u.
data_Tb7Ru2Pb2
_space_group_name_H-M_alt 'C m m m'
_space_group_IT_number 65
_space_group_name_Hall '-C 2 2'
_cell_length_a 8.2408
_cell_length_b 10.9082
_cell_length_c 7.2697
_cell_angle_alpha 90.00
_cell_angle_beta 90.00
_cell_angle_gamma 90.00
loop_
_atom_site_label
_atom_site_fract_x
_atom_site_fract_y
_atom_site_fract_z
_atom_site_occupancy
Tb1 0.0000 0.0000 0.0000 1
Tb2 0.0000 0.5000 0.2281 1
Tb3 0.2500 0.2500 0.2427 1
Ru1 0.0000 0.2872 0.0000 1
Pb1 0.1887 0.0000 0.5000 1